Record 1
DFT (meta-GGA SCAN) results for KGa2PbO at its PBEsol-relaxed geometry.

Geometry as POSCAR:
```
KGa2PbO
1.0
5.5383 0.0000 0.0000
0.0000 5.5383 0.0000
0.0000 0.0000 6.1229
Pb O Ga K
1 1 2 1
Cartesian
0.0000 0.0000 3.0615
2.7692 2.7692 3.0615
0.0000 2.7692 0.0000
2.7692 0.0000 0.0000
0.0000 0.0000 0.0000
```

ΔE_f (raw), kcal/mol of atoms: 34.29
E_tot, eV per atom: -23.12
Space group: P4/mmm, No. 123

Record 2
DFT (meta-GGA SCAN) results for KGa3Os at its PBEsol-relaxed geometry.

Geometry as POSCAR:
```
KGa3Os
1.0
-3.6296 1.5604 -2.7680
-1.7907 -4.4758 -0.1751
-2.6248 0.8958 3.9469
Ga Os K
3 1 1
Cartesian
-2.2078 -1.7900 1.8859
-3.1272 1.2281 0.5895
-2.7101 -1.4577 -1.4715
-4.0226 -1.0098 0.5019
0.0000 0.0000 0.0000
```

E_tot, eV per atom: -26.21
Energy relative to the elements, eV per atom: -0.360
Space group: Pm-3m, No. 221